Cr2PdPbO8 | PBE+U | relaxed

a = 5.6038 Å, b = 5.6038 Å, c = 6.9655 Å
α = 90.00°, β = 90.00°, γ = 120.00°
Closest atoms and distances in Å follow each position.
Space group P-3m1 (No. 164)
Unique sites:
Cr  0.3333  0.6667  0.2258  4 O 1.64-1.69
Pd  0.0000  0.0000  0.5000  6 O 2.15
Pb  0.0000  0.0000  0.0000  6 O 2.63
O  0.1671  0.3342  0.2973  1 Cr 1.69
O  0.3333  0.6667  0.9910  1 Cr 1.64

Summary:
E_tot	-6.29	eV per atom
volume	189	Å³ per cell